1.
VASP calculation (PBE) on an optimized crystal structure of AlAgB2Mo.

Values from the calculation:
**Calculated total energy**: -5.014 eV/atom
**V**: 16.94 Å³/atom
**Total magnetic moment**: 0.00 μB per atom
**D(E_F)**: 0.40 states/eV per atom
**Energy of formation from the pure elements**: 5.7 eV/f.u.

Unit cell a=4.2062 b=4.2062 c=4.7881 alpha=90.00 beta=90.00 gamma=90.00
Last column: nearest neighbours and their distance in Å.
Space group P4/mmm (No. 123)
Symmetry-distinct sites (fractional):
Al: 0.0000 0.0000 0.0000 (multiplicity 1)  2 Mo 2.39
Ag: 0.5000 0.5000 0.0000 (multiplicity 1)  4 Al 2.97, 8 B 3.19
B: 0.0000 0.5000 0.5000 (multiplicity 2)  2 Mo 2.10
Mo: 0.0000 0.0000 0.5000 (multiplicity 1)  4 B 2.10

2.
VASP calculation (PBE) on an optimized crystal structure of ZrReAu2N.

Values from the calculation:
**Energy above the lowest structure with this stoichiometry**: 1372 meV per atom
**Calculated total energy**: -4.452 eV/atom
**V**: 25.81 Å³/atom
**E_form (uncorrected)**: 13.62 eV per formula unit
**Total magnetic moment**: 0.01 μB per atom
**D(E_F)**: 1.74 states/eV per atom

Unit cell a=5.1880 b=5.1880 c=4.7950 alpha=90.00 beta=90.00 gamma=90.00
Last column: nearest neighbours and their distance in Å.
Space group P4/mmm (No. 123)
Symmetry-distinct sites (fractional):
Zr: 0.0000 0.0000 0.0000 (multiplicity 1)  2 Re 2.40, 4 Au 2.59
Re: 0.0000 0.0000 0.5000 (multiplicity 1)  2 Zr 2.40
Au: 0.0000 0.5000 0.0000 (multiplicity 2)  2 Zr 2.59
N: 0.5000 0.5000 0.5000 (multiplicity 1)  8 Au 3.53, 4 Re 3.67

3.
VASP calculation (PBE) on an optimized crystal structure of LiFeSe2.

Values from the calculation:
**Calculated total energy**: -4.633 eV/atom
**V**: 22.48 Å³/atom
**E_form (uncorrected)**: -1.19 eV per formula unit
**Total magnetic moment**: 0.75 μB per atom
**D(E_F)**: 1.12 states/eV per atom

Unit cell a=3.4680 b=7.1451 c=7.2573 alpha=90.00 beta=90.00 gamma=90.00
Last column: nearest neighbours and their distance in Å.
Space group Immm (No. 71)
Symmetry-distinct sites (fractional):
Li: 0.0000 0.0000 0.0000 (multiplicity 2)  4 Se 2.65
Fe: 0.0000 0.0000 0.5000 (multiplicity 2)  4 Se 2.37
Se: 0.0000 0.5000 0.2233 (multiplicity 4)  2 Fe 2.37, 2 Li 2.65

4.
VASP calculation (PBE) on an optimized crystal structure of InCuBiO4.

Values from the calculation:
**Calculated total energy**: -5.430 eV/atom
**V**: 14.46 Å³/atom
**E_form (uncorrected)**: -7.46 eV per formula unit
**Total magnetic moment**: 0.14 μB per atom
**D(E_F)**: 0.07 states/eV per atom

Unit cell a=6.0921 b=6.6929 c=9.9299 alpha=90.00 beta=90.00 gamma=90.00
Last column: nearest neighbours and their distance in Å.
Space group Imma (No. 74)
Symmetry-distinct sites (fractional):
In: 0.0000 0.0000 0.0000 (multiplicity 4)  6 O 2.20-2.24
Cu: 0.2500 0.2500 0.2500 (multiplicity 4)  4 O 2.02
Bi: 0.0000 0.2500 0.6619 (multiplicity 4)  4 O 2.16-2.35
O: 0.0000 0.0558 0.2227 (multiplicity 8)  2 Cu 2.02, 1 In 2.24
O: 0.2331 0.2500 0.9817 (multiplicity 8)  1 Bi 2.16, 2 In 2.20

5.
VASP calculation (PBE) on an optimized crystal structure of TlZnCd2Hg.

Values from the calculation:
**Energy above the lowest structure with this stoichiometry**: 17 meV per atom
**Calculated total energy**: -0.982 eV/atom
**V**: 29.19 Å³/atom
**Total magnetic moment**: 0.00 μB per atom
**D(E_F)**: 0.45 states/eV per atom
**Energy of formation from the pure elements**: 0.9 eV/f.u.

Unit cell a=5.1711 b=5.1711 c=5.4577 alpha=90.00 beta=90.00 gamma=90.00
Last column: nearest neighbours and their distance in Å.
Space group P4/mmm (No. 123)
Symmetry-distinct sites (fractional):
Tl: 0.0000 0.0000 0.0000 (multiplicity 1)  2 Zn 2.73
Zn: 0.0000 0.0000 0.5000 (multiplicity 1)  4 Cd 2.59, 2 Tl 2.73
Cd: 0.0000 0.5000 0.5000 (multiplicity 2)  2 Zn 2.59
Hg: 0.5000 0.5000 0.0000 (multiplicity 1)  4 Tl 3.66, 8 Cd 3.76

6.
VASP calculation (PBE) on an optimized crystal structure of SiHg4.

Values from the calculation:
**Energy above the lowest structure with this stoichiometry**: 92 meV per atom
**Calculated total energy**: -1.045 eV/atom
**V**: 24.48 Å³/atom
**E_form (uncorrected)**: 1.41 eV per formula unit
**Total magnetic moment**: 0.00 μB per atom
**D(E_F)**: 0.51 states/eV per atom

Unit cell a=8.7042 b=8.7042 c=3.2308 alpha=90.00 beta=90.00 gamma=90.00
Last column: nearest neighbours and their distance in Å.
Space group I4/m (No. 87)
Symmetry-distinct sites (fractional):
Si: 0.0000 0.0000 0.0000 (multiplicity 2)  8 Hg 2.91, 2 Si 3.23
Hg: 0.0006 0.7219 0.5000 (multiplicity 8)  2 Si 2.91, 6 Hg 3.17-3.23

7.
VASP calculation (PBE) on an optimized crystal structure of K2Na5Tl5.

Values from the calculation:
**Calculated total energy**: -1.778 eV/atom
**V**: 35.18 Å³/atom
**Total magnetic moment**: 0.00 μB per atom
**D(E_F)**: 0.57 states/eV per atom
**Energy of formation from the pure elements**: -0.7 eV/f.u.

Unit cell a=5.4316 b=6.6872 c=11.6211 alpha=90.00 beta=90.00 gamma=90.00
Last column: nearest neighbours and their distance in Å.
Space group Pmmm (No. 47)
Symmetry-distinct sites (fractional):
K: 0.0000 0.0000 0.0000 (multiplicity 1)  6 Na 3.68-3.86
K: 0.0000 0.5000 0.5000 (multiplicity 1)  10 Na 3.87-4.31
Na: 0.0000 0.0000 0.3164 (multiplicity 2)  4 Tl 3.29, 2 Na 3.45, 1 K 3.68
Na: 0.0000 0.5000 0.1668 (multiplicity 2)  6 Tl 3.32-3.34
Na: 0.5000 0.0000 0.5000 (multiplicity 1)  4 Tl 3.39, 4 Na 3.45
Tl: 0.5000 0.2486 0.2454 (multiplicity 4)  5 Na 3.29-3.39, 3 Tl 3.31-3.36
Tl: 0.5000 0.5000 0.0000 (multiplicity 1)  4 Tl 3.31, 4 Na 3.34

8.
VASP calculation (PBE) on an optimized crystal structure of HoMgTiCd.

Values from the calculation:
**Calculated total energy**: -3.698 eV/atom
**V**: 22.66 Å³/atom
**Total magnetic moment**: 0.40 μB per atom
**D(E_F)**: 0.87 states/eV per atom
**Energy of formation from the pure elements**: 0.2 eV/f.u.

Unit cell a=7.1307 b=7.1307 c=7.1307 alpha=90.00 beta=90.00 gamma=90.00
Last column: nearest neighbours and their distance in Å.
Space group F-43m (No. 216)
Symmetry-distinct sites (fractional):
Ho: 0.0000 0.0000 0.0000 (multiplicity 4)  4 Cd 3.09, 4 Mg 3.09
Mg: 0.2500 0.2500 0.2500 (multiplicity 4)  4 Ho 3.09, 4 Ti 3.09
Ti: 0.0000 0.0000 0.5000 (multiplicity 4)  4 Cd 3.09, 4 Mg 3.09
Cd: 0.2500 0.2500 0.7500 (multiplicity 4)  4 Ho 3.09, 4 Ti 3.09

Question: Which of these has the lowest D(E_F)?
Answer: InCuBiO4

Question: The lowest V belongs to which entry?
Answer: InCuBiO4

Question: Which of these has the lowest V?
Answer: InCuBiO4

Question: What is the D(E_F) in the first record?
Answer: 0.40 states/eV per atom